[1]
A plane-wave DFT calculation with meta-GGA SCAN was carried out for a crystal of YMg2As2 relaxed with PBEsol.

Unit cell a=3.9983 b=3.9983 c=12.9390 alpha=90.00 beta=90.00 gamma=90.00
With the nearest neighbours (Å) after each atom.
Space group I4/mmm (No. 139)
Asymmetric unit:
Y: 0.0000 0.0000 0.0000  8 As 3.17
Mg: 0.0000 0.5000 0.2500  4 As 2.69, 4 Mg 2.83
As: 0.0000 0.0000 0.3886  4 Mg 2.69, 1 As 2.88

Output
**N(E_F)**: 0.325 states/eV per atom
**Energy**: -16.39 eV per atom
**Formation energy**: -0.758 eV per atom

---

[2]
A plane-wave DFT calculation with meta-GGA SCAN was carried out for a crystal of Y2MgAs relaxed with PBEsol.

Unit cell a=3.7410 b=3.7410 c=6.6392 alpha=90.00 beta=90.00 gamma=90.00
With the nearest neighbours (Å) after each atom.
Space group P4/mmm (No. 123)
Asymmetric unit:
Y: 0.0000 0.0000 0.2316  4 As 3.06, 1 Y 3.08, 4 Mg 3.19
Mg: 0.5000 0.5000 0.5000  8 Y 3.19, 2 As 3.32
As: 0.5000 0.5000 0.0000  8 Y 3.06, 2 Mg 3.32

Output
**N(E_F)**: 0.487 states/eV per atom
**Energy**: -20.94 eV per atom
**Formation energy**: -0.724 eV per atom

---

[3]
A plane-wave DFT calculation with meta-GGA SCAN was carried out for a crystal of Y2MgAs relaxed with PBEsol.

Unit cell a=3.7595 b=4.7381 c=10.6813 alpha=90.00 beta=90.00 gamma=90.00
With the nearest neighbours (Å) after each atom.
Space group Imm2 (No. 44)
Asymmetric unit:
Y: 0.0000 0.0000 0.0000  2 As 3.11, 4 Mg 3.11, 2 Y 3.35
Y: 0.0000 0.5000 0.2218  4 As 3.03, 2 Mg 3.26, 2 Y 3.35
Mg: 0.0000 0.0000 0.4321  2 As 2.85, 4 Y 3.11
As: 0.0000 0.5000 0.7318  2 Mg 2.85, 6 Y 3.03-3.11

Output
**N(E_F)**: 0.807 states/eV per atom
**Energy**: -20.83 eV per atom
**Formation energy**: -0.613 eV per atom

---

[4]
A plane-wave DFT calculation with meta-GGA SCAN was carried out for a crystal of YMgAs2 relaxed with PBEsol.

Unit cell a=10.6334 b=3.8823 c=4.1762 alpha=90.00 beta=100.73 gamma=90.00
With the nearest neighbours (Å) after each atom.
Space group Cm (No. 8)
Asymmetric unit:
Y: 0.0000 0.0000 0.0000  7 As 2.84-3.06
Mg: 0.2530 0.5000 0.4166  5 As 2.70-2.93
As: 0.0075 0.5000 0.4987  1 Mg 2.70, 4 Y 2.84-2.87
As: 0.2751 0.0000 0.9502  4 Mg 2.79-2.93, 3 Y 2.97-3.06, 1 As 3.04

Output
**N(E_F)**: 0.306 states/eV per atom
**Energy**: -19.22 eV per atom
**Formation energy**: -0.918 eV per atom

---

[5]
A plane-wave DFT calculation with meta-GGA SCAN was carried out for a crystal of YMgAs2 relaxed with PBEsol.

Unit cell a=3.7520 b=3.1804 c=7.3012 alpha=90.00 beta=100.70 gamma=90.00
With the nearest neighbours (Å) after each atom.
Space group P2/m (No. 10)
Asymmetric unit:
Y: 0.0000 0.0000 0.0000  8 As 3.01-3.04, 2 Y 3.18
Mg: 0.0000 0.0000 0.5000  4 As 2.71
As: 0.4187 0.5000 0.7545  2 Mg 2.71, 2 Y 3.01

Output
**N(E_F)**: 0.388 states/eV per atom
**Energy**: -19.07 eV per atom
**Formation energy**: -0.769 eV per atom

---

[6]
A plane-wave DFT calculation with meta-GGA SCAN was carried out for a crystal of Mg2ZnAs relaxed with PBEsol.

Unit cell a=3.9137 b=3.9835 c=9.4085 alpha=90.00 beta=90.00 gamma=90.00
With the nearest neighbours (Å) after each atom.
Space group Imm2 (No. 44)
Asymmetric unit:
Mg: 0.0000 0.0000 0.0000  4 As 2.79, 4 Zn 3.05-3.10, 4 Mg 3.05-3.09
Mg: 0.0000 0.5000 0.2461  4 Zn 2.79, 4 Mg 3.05-3.09, 4 As 3.06-3.08
Zn: 0.0000 0.5000 0.7551  8 Mg 2.79-3.10, 2 As 2.97
As: 0.0000 0.0000 0.4927  8 Mg 2.79-3.08, 2 Zn 2.97

Output
**N(E_F)**: 0.285 states/eV per atom
**Energy**: -11.10 eV per atom
**Formation energy**: -0.190 eV per atom

---

[7]
A plane-wave DFT calculation with meta-GGA SCAN was carried out for a crystal of Mg2ZnAs relaxed with PBEsol.

Unit cell a=4.3651 b=4.3651 c=3.8093 alpha=90.00 beta=90.00 gamma=90.00
With the nearest neighbours (Å) after each atom.
Space group P4/mmm (No. 123)
Asymmetric unit:
Mg: 0.0000 0.5000 0.0000  4 As 2.90, 4 Zn 2.90, 4 Mg 3.09
Zn: 0.0000 0.0000 0.5000  8 Mg 2.90, 4 As 3.09
As: 0.5000 0.5000 0.5000  8 Mg 2.90, 4 Zn 3.09

Output
**N(E_F)**: 0.324 states/eV per atom
**Energy**: -11.15 eV per atom
**Formation energy**: -0.237 eV per atom

---

[8]
A plane-wave DFT calculation with meta-GGA SCAN was carried out for a crystal of MgZn2As relaxed with PBEsol.

Unit cell a=5.2712 b=8.3224 c=3.1387 alpha=90.00 beta=90.00 gamma=90.00
With the nearest neighbours (Å) after each atom.
Space group Cmmm (No. 65)
Asymmetric unit:
Mg: 0.0000 0.0000 0.0000  2 As 2.64, 8 Zn 2.92
Zn: 0.2500 0.2500 0.5000  2 Zn 2.64, 4 As 2.92, 4 Mg 2.92
As: 0.0000 0.5000 0.0000  2 Mg 2.64, 8 Zn 2.92

Output
**N(E_F)**: 0.256 states/eV per atom
**Energy**: -13.04 eV per atom
**Formation energy**: 0.005 eV per atom